# 1
The following is a GGA-PBE calculation of crystalline Na6PF12 at its relaxed geometry, from the Alexandria database.

Unit cell a=6.6205 b=6.6205 c=6.6205 alpha=99.06 beta=99.06 gamma=99.06
With the nearest neighbours (Å) after each atom.
Element x y z (fractional)
1 Na 0.6610 0.8445 0.4029  4 F 2.21-2.28
2 Na 0.5971 0.3390 0.1555  4 F 2.21-2.28
3 Na 0.1555 0.5971 0.3390  4 F 2.21-2.28
4 Na 0.3390 0.1555 0.5971  4 F 2.21-2.28
5 Na 0.4029 0.6610 0.8445  4 F 2.21-2.28
6 Na 0.8445 0.4029 0.6610  4 F 2.21-2.28
7 P 0.0000 0.0000 0.0000  6 F 1.64
8 F 0.8329 0.5826 0.3946  4 Na 2.21-2.28
9 F 0.3946 0.8329 0.5826  4 Na 2.21-2.28
10 F 0.5826 0.3946 0.8329  4 Na 2.21-2.28
11 F 0.1671 0.4174 0.6054  4 Na 2.21-2.28
12 F 0.6054 0.1671 0.4174  4 Na 2.21-2.28
13 F 0.4174 0.6054 0.1671  4 Na 2.21-2.28
14 F 0.0687 0.9843 0.2456  1 P 1.64
15 F 0.0157 0.7544 0.9313  1 P 1.64
16 F 0.7544 0.9313 0.0157  1 P 1.64
17 F 0.9313 0.0157 0.7544  1 P 1.64
18 F 0.9843 0.2456 0.0687  1 P 1.64
19 F 0.2456 0.0687 0.9843  1 P 1.64

Calculated values
Total magnetization = 1.04 μB per formula unit
Energy = -4.430 eV/atom
V = 14.63 Å³/atom
Formation energy (no corrections) = -2.55 eV per atom



# 2
The following is a GGA-PBE calculation of crystalline NaPF2 at its relaxed geometry, from the Alexandria database.

Unit cell a=6.1414 b=6.1414 c=5.3114 alpha=54.68 beta=54.68 gamma=90.00
With the nearest neighbours (Å) after each atom.
Element x y z (fractional)
1 P 0.0000 0.0000 0.0000  4 F 2.27
2 P 0.7500 0.2500 0.5000  4 F 2.27
3 F 0.6338 0.1250 0.2500  2 P 2.27, 2 Na 2.34
4 F 0.1162 0.6250 0.2500  2 P 2.27, 2 Na 2.34
5 F 0.3750 0.3662 0.7500  2 P 2.27, 2 Na 2.34
6 F 0.8750 0.8838 0.7500  2 P 2.27, 2 Na 2.34
7 Na 0.5000 0.5000 0.0000  4 F 2.34
8 Na 0.2500 0.7500 0.5000  4 F 2.34

Calculated values
Total magnetization = 0.00 μB per formula unit
Energy = -3.722 eV/atom
V = 14.42 Å³/atom
Formation energy (no corrections) = -1.10 eV per atom



# 3
The following is a GGA-PBE calculation of crystalline NaPS2F at its relaxed geometry, from the Alexandria database.

Unit cell a=4.6008 b=4.0727 c=4.6008 alpha=90.00 beta=90.00 gamma=90.00
With the nearest neighbours (Å) after each atom.
Element x y z (fractional)
1 P 0.0000 0.0000 0.0000  2 F 2.04
2 S 0.0000 0.0000 0.5000  2 P 2.30
3 S 0.5000 0.0000 0.0000  2 P 2.30
4 F 0.0000 0.5000 0.0000  2 P 2.04
5 Na 0.5000 0.5000 0.5000  8 S 3.07, 4 F 3.25

Calculated values
Total magnetization = 0.00 μB per formula unit
Energy = -4.047 eV/atom
V = 17.24 Å³/atom
Formation energy (no corrections) = -0.68 eV per atom



# 4
The following is a GGA-PBE calculation of crystalline Na2PSF5 at its relaxed geometry, from the Alexandria database.

Unit cell a=6.1912 b=6.1912 c=6.1912 alpha=76.40 beta=128.14 gamma=128.14
With the nearest neighbours (Å) after each atom.
Element x y z (fractional)
1 Na 0.5000 0.2005 0.7005  6 F 2.57-2.71, 2 S 2.86
2 Na 0.5000 0.7005 0.2005  6 F 2.57-2.71, 2 S 2.86
3 P 0.0000 0.0091 0.0091  5 F 1.68-1.75
4 S 0.0000 0.7952 0.7952  1 P 2.08
5 F 0.4355 0.2442 0.2442  1 P 1.68
6 F 0.5645 0.8087 0.8087  1 P 1.68
7 F 0.0000 0.8087 0.2442  1 P 1.68
8 F 0.0000 0.2442 0.8087  1 P 1.68
9 F 0.0000 0.1889 0.1889  1 P 1.75

Calculated values
Total magnetization = 0.00 μB per formula unit
Energy = -4.625 eV/atom
V = 15.85 Å³/atom
Formation energy (no corrections) = -2.23 eV per atom



# 5
The following is a GGA-PBE calculation of crystalline NaPS2F at its relaxed geometry, from the Alexandria database.

Unit cell a=5.0219 b=5.0219 c=3.7974 alpha=90.00 beta=90.00 gamma=90.00
With the nearest neighbours (Å) after each atom.
Element x y z (fractional)
1 P 0.0000 0.0000 0.5000  2 F 1.90
2 S 0.0000 0.5000 0.0000  2 F 2.51
3 S 0.5000 0.0000 0.0000  2 F 2.51
4 F 0.0000 0.0000 0.0000  2 P 1.90
5 Na 0.5000 0.5000 0.5000  8 S 3.15

Calculated values
Total magnetization = 0.00 μB per formula unit
Energy = -3.115 eV/atom
V = 19.15 Å³/atom
Formation energy (no corrections) = 0.26 eV per atom



# 6
The following is a GGA-PBE calculation of crystalline NaP2SF at its relaxed geometry, from the Alexandria database.

Unit cell a=4.9121 b=4.9121 c=4.7050 alpha=90.00 beta=90.00 gamma=90.00
With the nearest neighbours (Å) after each atom.
Element x y z (fractional)
1 P 0.0000 0.5000 0.0000  2 Na 2.46
2 P 0.5000 0.0000 0.0000  2 Na 2.46
3 S 0.0000 0.0000 0.5000  2 Na 2.35
4 F 0.5000 0.5000 0.5000  8 P 3.40, 4 S 3.47
5 Na 0.0000 0.0000 0.0000  2 S 2.35, 4 P 2.46

Calculated values
Total magnetization = 0.25 μB per formula unit
Energy = -2.378 eV/atom
V = 22.70 Å³/atom
Formation energy (no corrections) = 1.25 eV per atom



# 7
The following is a GGA-PBE calculation of crystalline NaPS2F at its relaxed geometry, from the Alexandria database.

Unit cell a=4.7555 b=4.7555 c=5.0743 alpha=90.00 beta=90.00 gamma=90.00
With the nearest neighbours (Å) after each atom.
Element x y z (fractional)
1 P 0.0000 0.0000 0.5000  2 Na 2.54
2 S 0.0000 0.5000 0.0000  2 Na 2.38
3 S 0.5000 0.0000 0.0000  2 Na 2.38
4 F 0.5000 0.5000 0.5000  4 P 3.36, 8 S 3.48
5 Na 0.0000 0.0000 0.0000  4 S 2.38, 2 P 2.54

Calculated values
Total magnetization = 0.00 μB per formula unit
Energy = -2.242 eV/atom
V = 22.95 Å³/atom
Formation energy (no corrections) = 1.13 eV per atom



# 8
The following is a GGA-PBE calculation of crystalline NaP2SF at its relaxed geometry, from the Alexandria database.

Unit cell a=4.1812 b=4.1812 c=5.2994 alpha=90.00 beta=90.00 gamma=90.00
With the nearest neighbours (Å) after each atom.
Element x y z (fractional)
1 P 0.0000 0.5000 0.0000  2 F 2.09
2 P 0.5000 0.0000 0.0000  2 F 2.09
3 S 0.0000 0.0000 0.5000  2 F 2.65, 4 Na 2.96
4 F 0.0000 0.0000 0.0000  4 P 2.09
5 Na 0.5000 0.5000 0.5000  4 S 2.96

Calculated values
Total magnetization = 0.00 μB per formula unit
Energy = -3.299 eV/atom
V = 18.53 Å³/atom
Formation energy (no corrections) = 0.33 eV per atom